Computed, not measured: crystalline AlCoF3 at its relaxed geometry at the PBEsol level of DFT.

Unit cell a=4.027 b=4.027 c=4.027 alpha=90.00 beta=90.00 gamma=90.00
Atoms (fractional coordinates):
Al (0.000, 0.000, 0.000)
Co (0.500, 0.500, 0.500)
F (0.000, 0.500, 0.500)
F (0.500, 0.000, 0.500)
F (0.500, 0.500, 0.000)

Values from the calculation:
formation energy from raw total energies = -1.37 eV/atom
space-group type = No. 221
volume = 65.3 Å³ per cell
spin magnetization = 3.000 μB per formula unit

Computed, not measured: crystalline La2W at its relaxed geometry at the PBEsol level of DFT.

Unit cell a=4.815 b=4.815 c=7.793 alpha=90.00 beta=90.00 gamma=120.00
Atoms (fractional coordinates):
La (0.000, 0.000, 0.000)
La (0.000, 0.000, 0.500)
La (0.333, 0.667, 0.250)
La (0.667, 0.333, 0.750)
W (0.333, 0.667, 0.750)
W (0.667, 0.333, 0.250)

Values from the calculation:
E above lowest polymorph = 27 meV/atom
space-group type = No. 194
calculated formation energy = 0.690 eV per atom
volume = 156.4 Å³ per cell
spin magnetization = 0.000 μB per formula unit

Computed, not measured: crystalline Lu2S3 at its relaxed geometry at the PBEsol level of DFT.

Unit cell a=6.654 b=6.654 c=18.158 alpha=90.00 beta=90.00 gamma=120.00
Atoms (fractional coordinates):
Lu (0.000, 0.000, 0.000)
Lu (0.000, 0.000, 0.202)
Lu (0.000, 0.000, 0.500)
Lu (0.000, 0.000, 0.702)
Lu (0.333, 0.667, 0.166)
Lu (0.333, 0.667, 0.364)
Lu (0.333, 0.667, 0.666)
Lu (0.333, 0.667, 0.864)
Lu (0.667, 0.333, 0.166)
Lu (0.667, 0.333, 0.364)
Lu (0.667, 0.333, 0.666)
Lu (0.667, 0.333, 0.864)
S (0.000, 0.302, 0.104)
S (0.000, 0.338, 0.433)
S (0.000, 0.368, 0.762)
S (0.000, 0.632, 0.262)
S (0.000, 0.662, 0.933)
S (0.000, 0.698, 0.604)
S (0.302, 0.000, 0.104)
S (0.302, 0.302, 0.604)
S (0.338, 0.000, 0.433)
S (0.338, 0.338, 0.933)
S (0.368, 0.000, 0.762)
S (0.368, 0.368, 0.262)
S (0.632, 0.000, 0.262)
S (0.632, 0.632, 0.762)
S (0.662, 0.000, 0.933)
S (0.662, 0.662, 0.433)
S (0.698, 0.000, 0.604)
S (0.698, 0.698, 0.104)

Values from the calculation:
formation energy from raw total energies = -2.04 eV/atom
space-group type = No. 185
volume = 696.2 Å³ per cell
spin magnetization = 0.000 μB per formula unit

Computed, not measured: crystalline SrCdRh at its relaxed geometry at the PBEsol level of DFT.

Unit cell a=6.844 b=6.844 c=6.844 alpha=90.00 beta=90.00 gamma=90.00
Atoms (fractional coordinates):
Sr (0.000, 0.000, 0.000)
Sr (0.000, 0.500, 0.500)
Sr (0.500, 0.000, 0.500)
Sr (0.500, 0.500, 0.000)
Cd (0.250, 0.250, 0.750)
Cd (0.250, 0.750, 0.250)
Cd (0.750, 0.250, 0.250)
Cd (0.750, 0.750, 0.750)
Rh (0.250, 0.250, 0.250)
Rh (0.250, 0.750, 0.750)
Rh (0.750, 0.250, 0.750)
Rh (0.750, 0.750, 0.250)

Values from the calculation:
space-group type = No. 216
calculated formation energy = 0.681 eV per atom
volume = 320.6 Å³ per cell
spin magnetization = 0.000 μB per formula unit

Computed, not measured: crystalline Sr2GdNbO6 at its relaxed geometry at the PBEsol level of DFT.

Unit cell a=5.945 b=5.945 c=5.945 alpha=60.00 beta=60.00 gamma=60.00
Atoms (fractional coordinates):
Sr (0.250, 0.250, 0.250)
Sr (0.750, 0.750, 0.750)
Gd (0.000, 0.000, 0.000)
Nb (0.500, 0.500, 0.500)
O (0.263, 0.263, 0.737)
O (0.263, 0.737, 0.263)
O (0.263, 0.737, 0.737)
O (0.737, 0.263, 0.263)
O (0.737, 0.263, 0.737)
O (0.737, 0.737, 0.263)

Values from the calculation:
formation energy from raw total energies = -2.96 eV/atom
space-group type = No. 225
volume = 148.6 Å³ per cell
spin magnetization = 7.000 μB per formula unit

Computed, not measured: crystalline Mg2NiAg at its relaxed geometry at the PBEsol level of DFT.

Unit cell a=2.924 b=3.863 c=5.668 alpha=90.00 beta=90.00 gamma=90.00
Atoms (fractional coordinates):
Mg (0.000, 0.000, 0.000)
Mg (0.500, 0.500, 0.313)
Ni (0.000, 0.000, 0.512)
Ag (0.500, 0.500, 0.770)

Values from the calculation:
space-group type = No. 25
calculated formation energy = -0.022 eV per atom
volume = 64.0 Å³ per cell
spin magnetization = 0.000 μB per formula unit